Nd7AsBr12 after structural relaxation, computed with PBE.

abc: 15.3356 15.3356 10.1671
angles: 90.00 90.00 120.00
Space group R-3 (No. 148, hexagonal axes)
Symmetry-distinct sites (fractional):
Nd 0.0000 0.0000 0.0000 x3
Nd 0.0462 0.1684 0.3441 x18
As 0.0000 0.0000 0.5000 x3
Br 0.0244 0.5867 0.1644 x18
Br 0.0492 0.1800 0.8395 x18

uncorrected formation energy: -1.713 eV/atom